PmMg2Sc (GGA-PBEsol, relaxed); ρ = 3.952 Mg/m³; formation enthalpy at 0 K = -0.06 eV/atom; D(E_F) = 4.66 states/eV/cell; crystal system = cubic; electronic total energy = -15.42 eV for the cell shown
1.0
0.0000 3.6868 3.6868
3.6868 0.0000 3.6868
3.6868 3.6868 0.0000
Pm Mg Sc
1 2 1
Direct
0.0000 0.0000 0.0000
0.2500 0.2500 0.2500
0.7500 0.7500 0.7500
0.5000 0.5000 0.5000

***

MnPt2Au (GGA-PBEsol, relaxed); ρ = 17.712 Mg/m³; formation enthalpy at 0 K = -0.13 eV/atom; D(E_F) = 2.92 states/eV/cell; crystal system = orthorhombic; electronic total energy = -28.15 eV for the cell shown
1.0
2.8275 0.0000 0.0000
0.0000 3.7357 0.0000
0.0000 0.0000 5.6988
Mn Pt Au
1 2 1
Direct
0.0000 0.0000 0.0000
0.5000 0.5000 0.2371
0.5000 0.5000 0.7629
0.0000 0.0000 0.5000

***

- The lowest ρ belongs to which entry?
  PmMg2Sc